Run a
First-principles (PBE) data for NbAlSCl2 after structural relaxation, as listed in Alexandria.

The structure in CIF format:
```
data_NbAlSCl2
_cell_length_a 4.641
_cell_length_b 4.641
_cell_length_c 4.814
_cell_angle_alpha 90.00
_cell_angle_beta 90.00
_cell_angle_gamma 90.00
_space_group_name_H-M_alt 'P 1'
_space_group_IT_number 1
loop_
_space_group_symop_operation_xyz
'x,y,z'
loop_
_atom_site_label
_atom_site_fract_x
_atom_site_fract_y
_atom_site_fract_z
_atom_site_occupancy
Nb1 0.000 0.000 0.000 1
Al1 0.500 0.500 0.500 1
S1 0.500 0.500 0.000 1
Cl1 0.000 0.500 0.500 1
Cl2 0.500 0.000 0.500 1
```


Run b
First-principles (PBE) data for NbAlSCl2 after structural relaxation, as listed in Alexandria.

The structure in CIF format:
```
data_NbAlSCl2
_cell_length_a 4.981
_cell_length_b 4.981
_cell_length_c 4.836
_cell_angle_alpha 90.00
_cell_angle_beta 90.00
_cell_angle_gamma 90.00
_space_group_name_H-M_alt 'P 1'
_space_group_IT_number 1
loop_
_space_group_symop_operation_xyz
'x,y,z'
loop_
_atom_site_label
_atom_site_fract_x
_atom_site_fract_y
_atom_site_fract_z
_atom_site_occupancy
Nb1 0.000 0.000 0.000 1
Al1 0.500 0.500 0.500 1
S1 0.000 0.000 0.500 1
Cl1 0.000 0.500 0.000 1
Cl2 0.500 0.000 0.000 1
```


Order of stability, best first: run b, run a


Run a
First-principles (PBE) data for Nd2AlCl after structural relaxation, as listed in Alexandria.

The structure in CIF format:
```
data_Nd2AlCl
_cell_length_a 3.764
_cell_length_b 3.764
_cell_length_c 26.175
_cell_angle_alpha 90.00
_cell_angle_beta 90.00
_cell_angle_gamma 120.00
_space_group_name_H-M_alt 'P 1'
_space_group_IT_number 1
loop_
_space_group_symop_operation_xyz
'x,y,z'
loop_
_atom_site_label
_atom_site_fract_x
_atom_site_fract_y
_atom_site_fract_z
_atom_site_occupancy
Nd1 0.000 0.000 0.000 1
Nd2 0.000 0.000 0.169 1
Nd3 0.333 0.667 0.667 1
Nd4 0.333 0.667 0.835 1
Nd5 0.667 0.333 0.333 1
Nd6 0.667 0.333 0.502 1
Al1 0.000 0.000 0.584 1
Al2 0.333 0.667 0.251 1
Al3 0.667 0.333 0.918 1
Cl1 0.000 0.000 0.417 1
Cl2 0.333 0.667 0.083 1
Cl3 0.667 0.333 0.750 1
```


Run b
First-principles (PBE) data for Nd2AlCl after structural relaxation, as listed in Alexandria.

The structure in CIF format:
```
data_Nd2AlCl
_cell_length_a 3.857
_cell_length_b 3.857
_cell_length_c 25.148
_cell_angle_alpha 90.00
_cell_angle_beta 90.00
_cell_angle_gamma 120.00
_space_group_name_H-M_alt 'P 1'
_space_group_IT_number 1
loop_
_space_group_symop_operation_xyz
'x,y,z'
loop_
_atom_site_label
_atom_site_fract_x
_atom_site_fract_y
_atom_site_fract_z
_atom_site_occupancy
Nd1 0.000 0.000 0.250 1
Nd2 0.000 0.000 0.750 1
Nd3 0.333 0.667 0.416 1
Nd4 0.333 0.667 0.917 1
Nd5 0.667 0.333 0.083 1
Nd6 0.667 0.333 0.584 1
Al1 0.000 0.000 0.000 1
Al2 0.333 0.667 0.667 1
Al3 0.667 0.333 0.333 1
Cl1 0.000 0.000 0.500 1
Cl2 0.333 0.667 0.167 1
Cl3 0.667 0.333 0.833 1
```


Order of stability, best first: run a, run b


Run a
First-principles (PBE) data for AlNiCl after structural relaxation, as listed in Alexandria.

The structure in CIF format:
```
data_AlNiCl
_cell_length_a 3.194
_cell_length_b 3.194
_cell_length_c 5.325
_cell_angle_alpha 90.00
_cell_angle_beta 90.00
_cell_angle_gamma 120.00
_space_group_name_H-M_alt 'P 1'
_space_group_IT_number 1
loop_
_space_group_symop_operation_xyz
'x,y,z'
loop_
_atom_site_label
_atom_site_fract_x
_atom_site_fract_y
_atom_site_fract_z
_atom_site_occupancy
Al1 0.000 0.000 0.000 1
Ni1 0.667 0.333 0.728 1
Cl1 0.333 0.667 0.359 1
```


Run b
First-principles (PBE) data for AlNiCl after structural relaxation, as listed in Alexandria.

The structure in CIF format:
```
data_AlNiCl
_cell_length_a 5.962
_cell_length_b 5.962
_cell_length_c 5.962
_cell_angle_alpha 90.00
_cell_angle_beta 90.00
_cell_angle_gamma 90.00
_space_group_name_H-M_alt 'P 1'
_space_group_IT_number 1
loop_
_space_group_symop_operation_xyz
'x,y,z'
loop_
_atom_site_label
_atom_site_fract_x
_atom_site_fract_y
_atom_site_fract_z
_atom_site_occupancy
Al1 0.000 0.000 0.000 1
Al2 0.000 0.500 0.500 1
Al3 0.500 0.000 0.500 1
Al4 0.500 0.500 0.000 1
Ni1 0.250 0.250 0.750 1
Ni2 0.250 0.750 0.250 1
Ni3 0.750 0.250 0.250 1
Ni4 0.750 0.750 0.750 1
Cl1 0.000 0.000 0.500 1
Cl2 0.000 0.500 0.000 1
Cl3 0.500 0.000 0.000 1
Cl4 0.500 0.500 0.500 1
```


Run c
First-principles (PBE) data for AlNiCl after structural relaxation, as listed in Alexandria.

The structure in CIF format:
```
data_AlNiCl
_cell_length_a 4.160
_cell_length_b 4.160
_cell_length_c 3.058
_cell_angle_alpha 90.00
_cell_angle_beta 90.00
_cell_angle_gamma 120.00
_space_group_name_H-M_alt 'P 1'
_space_group_IT_number 1
loop_
_space_group_symop_operation_xyz
'x,y,z'
loop_
_atom_site_label
_atom_site_fract_x
_atom_site_fract_y
_atom_site_fract_z
_atom_site_occupancy
Al1 0.000 0.000 0.000 1
Ni1 0.667 0.333 0.500 1
Cl1 0.333 0.667 0.500 1
```


Order of stability, best first: run a, run c, run b


Run a
First-principles (PBE) data for Al2NiCl after structural relaxation, as listed in Alexandria.

The structure in CIF format:
```
data_Al2NiCl
_cell_length_a 4.055
_cell_length_b 4.055
_cell_length_c 7.821
_cell_angle_alpha 90.00
_cell_angle_beta 90.00
_cell_angle_gamma 90.00
_space_group_name_H-M_alt 'P 1'
_space_group_IT_number 1
loop_
_space_group_symop_operation_xyz
'x,y,z'
loop_
_atom_site_label
_atom_site_fract_x
_atom_site_fract_y
_atom_site_fract_z
_atom_site_occupancy
Al1 0.000 0.500 0.250 1
Al2 0.000 0.500 0.750 1
Al3 0.500 0.000 0.250 1
Al4 0.500 0.000 0.750 1
Ni1 0.000 0.000 0.000 1
Ni2 0.500 0.500 0.500 1
Cl1 0.000 0.000 0.500 1
Cl2 0.500 0.500 0.000 1
```


Run b
First-principles (PBE) data for Al2NiCl after structural relaxation, as listed in Alexandria.

The structure in CIF format:
```
data_Al2NiCl
_cell_length_a 3.241
_cell_length_b 3.241
_cell_length_c 21.503
_cell_angle_alpha 90.00
_cell_angle_beta 90.00
_cell_angle_gamma 120.00
_space_group_name_H-M_alt 'P 1'
_space_group_IT_number 1
loop_
_space_group_symop_operation_xyz
'x,y,z'
loop_
_atom_site_label
_atom_site_fract_x
_atom_site_fract_y
_atom_site_fract_z
_atom_site_occupancy
Al1 0.000 0.000 0.235 1
Al2 0.000 0.000 0.765 1
Al3 0.333 0.667 0.431 1
Al4 0.333 0.667 0.902 1
Al5 0.667 0.333 0.098 1
Al6 0.667 0.333 0.569 1
Ni1 0.000 0.000 0.500 1
Ni2 0.333 0.667 0.167 1
Ni3 0.667 0.333 0.833 1
Cl1 0.000 0.000 0.000 1
Cl2 0.333 0.667 0.667 1
Cl3 0.667 0.333 0.333 1
```


Run c
First-principles (PBE) data for Al2NiCl after structural relaxation, as listed in Alexandria.

The structure in CIF format:
```
data_Al2NiCl
_cell_length_a 10.485
_cell_length_b 2.872
_cell_length_c 4.464
_cell_angle_alpha 90.00
_cell_angle_beta 100.29
_cell_angle_gamma 90.00
_space_group_name_H-M_alt 'P 1'
_space_group_IT_number 1
loop_
_space_group_symop_operation_xyz
'x,y,z'
loop_
_atom_site_label
_atom_site_fract_x
_atom_site_fract_y
_atom_site_fract_z
_atom_site_occupancy
Al1 0.195 0.000 0.232 1
Al2 0.305 0.500 0.768 1
Al3 0.695 0.500 0.232 1
Al4 0.805 0.000 0.768 1
Ni1 0.000 0.500 0.000 1
Ni2 0.500 0.000 0.000 1
Cl1 0.000 0.000 0.500 1
Cl2 0.500 0.500 0.500 1
```


Order of stability, best first: run b, run c, run a


Run a
First-principles (PBE) data for Al2NiCl after structural relaxation, as listed in Alexandria.

The structure in CIF format:
```
data_Al2NiCl
_cell_length_a 2.969
_cell_length_b 2.969
_cell_length_c 7.187
_cell_angle_alpha 90.00
_cell_angle_beta 90.00
_cell_angle_gamma 90.00
_space_group_name_H-M_alt 'P 1'
_space_group_IT_number 1
loop_
_space_group_symop_operation_xyz
'x,y,z'
loop_
_atom_site_label
_atom_site_fract_x
_atom_site_fract_y
_atom_site_fract_z
_atom_site_occupancy
Al1 0.000 0.000 0.194 1
Al2 0.000 0.000 0.806 1
Ni1 0.500 0.500 0.000 1
Cl1 0.500 0.500 0.500 1
```


Run b
First-principles (PBE) data for Al2NiCl after structural relaxation, as listed in Alexandria.

The structure in CIF format:
```
data_Al2NiCl
_cell_length_a 6.721
_cell_length_b 6.747
_cell_length_c 2.769
_cell_angle_alpha 90.00
_cell_angle_beta 90.00
_cell_angle_gamma 90.00
_space_group_name_H-M_alt 'P 1'
_space_group_IT_number 1
loop_
_space_group_symop_operation_xyz
'x,y,z'
loop_
_atom_site_label
_atom_site_fract_x
_atom_site_fract_y
_atom_site_fract_z
_atom_site_occupancy
Al1 0.250 0.250 0.000 1
Al2 0.250 0.750 0.000 1
Al3 0.750 0.250 0.000 1
Al4 0.750 0.750 0.000 1
Ni1 0.000 0.000 0.500 1
Ni2 0.500 0.500 0.500 1
Cl1 0.000 0.500 0.500 1
Cl2 0.500 0.000 0.500 1
```


Order of stability, best first: run a, run b


Run a
First-principles (PBE) data for Al2NiCl after structural relaxation, as listed in Alexandria.

The structure in CIF format:
```
data_Al2NiCl
_cell_length_a 6.467
_cell_length_b 6.467
_cell_length_c 6.467
_cell_angle_alpha 90.00
_cell_angle_beta 90.00
_cell_angle_gamma 90.00
_space_group_name_H-M_alt 'P 1'
_space_group_IT_number 1
loop_
_space_group_symop_operation_xyz
'x,y,z'
loop_
_atom_site_label
_atom_site_fract_x
_atom_site_fract_y
_atom_site_fract_z
_atom_site_occupancy
Al1 0.250 0.250 0.250 1
Al2 0.250 0.250 0.750 1
Al3 0.250 0.750 0.250 1
Al4 0.250 0.750 0.750 1
Al5 0.750 0.250 0.250 1
Al6 0.750 0.250 0.750 1
Al7 0.750 0.750 0.250 1
Al8 0.750 0.750 0.750 1
Ni1 0.000 0.000 0.000 1
Ni2 0.000 0.500 0.500 1
Ni3 0.500 0.000 0.500 1
Ni4 0.500 0.500 0.000 1
Cl1 0.000 0.000 0.500 1
Cl2 0.000 0.500 0.000 1
Cl3 0.500 0.000 0.000 1
Cl4 0.500 0.500 0.500 1
```


Run b
First-principles (PBE) data for Al2NiCl after structural relaxation, as listed in Alexandria.

The structure in CIF format:
```
data_Al2NiCl
_cell_length_a 4.162
_cell_length_b 4.173
_cell_length_c 7.621
_cell_angle_alpha 90.00
_cell_angle_beta 90.00
_cell_angle_gamma 90.00
_space_group_name_H-M_alt 'P 1'
_space_group_IT_number 1
loop_
_space_group_symop_operation_xyz
'x,y,z'
loop_
_atom_site_label
_atom_site_fract_x
_atom_site_fract_y
_atom_site_fract_z
_atom_site_occupancy
Al1 0.000 0.000 0.000 1
Al2 0.000 0.500 0.260 1
Al3 0.500 0.000 0.260 1
Al4 0.500 0.500 0.000 1
Ni1 0.000 0.000 0.429 1
Ni2 0.500 0.500 0.429 1
Cl1 0.000 0.500 0.769 1
Cl2 0.500 0.000 0.769 1
```


Run c
First-principles (PBE) data for Al2NiCl after structural relaxation, as listed in Alexandria.

The structure in CIF format:
```
data_Al2NiCl
_cell_length_a 3.568
_cell_length_b 3.568
_cell_length_c 11.257
_cell_angle_alpha 90.00
_cell_angle_beta 90.00
_cell_angle_gamma 90.00
_space_group_name_H-M_alt 'P 1'
_space_group_IT_number 1
loop_
_space_group_symop_operation_xyz
'x,y,z'
loop_
_atom_site_label
_atom_site_fract_x
_atom_site_fract_y
_atom_site_fract_z
_atom_site_occupancy
Al1 0.000 0.000 0.000 1
Al2 0.000 0.500 0.250 1
Al3 0.500 0.000 0.750 1
Al4 0.500 0.500 0.500 1
Ni1 0.000 0.000 0.500 1
Ni2 0.500 0.500 0.000 1
Cl1 0.000 0.500 0.750 1
Cl2 0.500 0.000 0.250 1
```


Order of stability, best first: run b, run c, run a


Run a
First-principles (PBE) data for Al2NiCl after structural relaxation, as listed in Alexandria.

The structure in CIF format:
```
data_Al2NiCl
_cell_length_a 10.823
_cell_length_b 2.811
_cell_length_c 4.572
_cell_angle_alpha 90.00
_cell_angle_beta 111.76
_cell_angle_gamma 90.00
_space_group_name_H-M_alt 'P 1'
_space_group_IT_number 1
loop_
_space_group_symop_operation_xyz
'x,y,z'
loop_
_atom_site_label
_atom_site_fract_x
_atom_site_fract_y
_atom_site_fract_z
_atom_site_occupancy
Al1 0.000 0.000 0.000 1
Al2 0.233 0.000 0.675 1
Al3 0.500 0.500 0.000 1
Al4 0.733 0.500 0.675 1
Ni1 0.193 0.500 0.135 1
Ni2 0.693 0.000 0.135 1
Cl1 0.430 0.000 0.379 1
Cl2 0.930 0.500 0.379 1
```


Run b
First-principles (PBE) data for Al2NiCl after structural relaxation, as listed in Alexandria.

The structure in CIF format:
```
data_Al2NiCl
_cell_length_a 2.847
_cell_length_b 4.460
_cell_length_c 5.162
_cell_angle_alpha 90.00
_cell_angle_beta 90.00
_cell_angle_gamma 90.00
_space_group_name_H-M_alt 'P 1'
_space_group_IT_number 1
loop_
_space_group_symop_operation_xyz
'x,y,z'
loop_
_atom_site_label
_atom_site_fract_x
_atom_site_fract_y
_atom_site_fract_z
_atom_site_occupancy
Al1 0.000 0.000 0.000 1
Al2 0.500 0.000 0.500 1
Ni1 0.000 0.500 0.500 1
Cl1 0.500 0.500 0.000 1
```


Order of stability, best first: run a, run b


Run a
First-principles (PBE) data for Al2NiCl after structural relaxation, as listed in Alexandria.

The structure in CIF format:
```
data_Al2NiCl
_cell_length_a 2.755
_cell_length_b 4.779
_cell_length_c 4.779
_cell_angle_alpha 90.00
_cell_angle_beta 90.01
_cell_angle_gamma 90.00
_space_group_name_H-M_alt 'P 1'
_space_group_IT_number 1
loop_
_space_group_symop_operation_xyz
'x,y,z'
loop_
_atom_site_label
_atom_site_fract_x
_atom_site_fract_y
_atom_site_fract_z
_atom_site_occupancy
Al1 0.000 0.000 0.000 1
Al2 0.001 0.500 0.499 1
Ni1 0.501 0.500 0.000 1
Cl1 0.003 0.000 0.500 1
```


Run b
First-principles (PBE) data for Al2NiCl after structural relaxation, as listed in Alexandria.

The structure in CIF format:
```
data_Al2NiCl
_cell_length_a 2.975
_cell_length_b 2.994
_cell_length_c 7.069
_cell_angle_alpha 90.00
_cell_angle_beta 90.00
_cell_angle_gamma 90.00
_space_group_name_H-M_alt 'P 1'
_space_group_IT_number 1
loop_
_space_group_symop_operation_xyz
'x,y,z'
loop_
_atom_site_label
_atom_site_fract_x
_atom_site_fract_y
_atom_site_fract_z
_atom_site_occupancy
Al1 0.000 0.000 0.194 1
Al2 0.000 0.000 0.806 1
Ni1 0.500 0.500 0.000 1
Cl1 0.500 0.000 0.500 1
```


Run c
First-principles (PBE) data for Al2NiCl after structural relaxation, as listed in Alexandria.

The structure in CIF format:
```
data_Al2NiCl
_cell_length_a 3.166
_cell_length_b 3.166
_cell_length_c 7.299
_cell_angle_alpha 90.00
_cell_angle_beta 90.00
_cell_angle_gamma 90.00
_space_group_name_H-M_alt 'P 1'
_space_group_IT_number 1
loop_
_space_group_symop_operation_xyz
'x,y,z'
loop_
_atom_site_label
_atom_site_fract_x
_atom_site_fract_y
_atom_site_fract_z
_atom_site_occupancy
Al1 0.000 0.000 0.000 1
Al2 0.500 0.500 0.424 1
Ni1 0.500 0.500 0.115 1
Cl1 0.000 0.000 0.648 1
```


Run d
First-principles (PBE) data for Al2NiCl after structural relaxation, as listed in Alexandria.

The structure in CIF format:
```
data_Al2NiCl
_cell_length_a 6.504
_cell_length_b 6.504
_cell_length_c 6.504
_cell_angle_alpha 90.00
_cell_angle_beta 90.00
_cell_angle_gamma 90.00
_space_group_name_H-M_alt 'P 1'
_space_group_IT_number 1
loop_
_space_group_symop_operation_xyz
'x,y,z'
loop_
_atom_site_label
_atom_site_fract_x
_atom_site_fract_y
_atom_site_fract_z
_atom_site_occupancy
Al1 0.000 0.000 0.000 1
Al2 0.000 0.500 0.500 1
Al3 0.250 0.250 0.250 1
Al4 0.250 0.750 0.750 1
Al5 0.500 0.000 0.500 1
Al6 0.500 0.500 0.000 1
Al7 0.750 0.250 0.750 1
Al8 0.750 0.750 0.250 1
Ni1 0.000 0.000 0.500 1
Ni2 0.000 0.500 0.000 1
Ni3 0.500 0.000 0.000 1
Ni4 0.500 0.500 0.500 1
Cl1 0.250 0.250 0.750 1
Cl2 0.250 0.750 0.250 1
Cl3 0.750 0.250 0.250 1
Cl4 0.750 0.750 0.750 1
```


Order of stability, best first: run b, run a, run c, run d